Record 1
The following is a PBE calculation of a geometry-optimized TaSi2As structure, from Alexandria.

## Properties
The formation energy from raw total energies comes out at 0.03 eV/f.u. As for the total magnetization: 0.00 μB per formula unit.

Cell and atoms, written as POSCAR:
```
TaSi2As
1.0
3.4746 0.0000 0.0000
0.0000 3.4740 0.0000
-0.0253 0.0000 5.2336
Ta Si As
1 2 1
Direct
0.0000 0.0000 0.0000 Ta
0.4985 0.5000 0.7529 Si
0.5015 0.5000 0.2471 Si
0.0000 0.0000 0.5000 As
```


Record 2
The following is a PBE calculation of a geometry-optimized TaSi2As structure, from Alexandria.

## Properties
The formation energy from raw total energies comes out at 0.86 eV/f.u. As for the total magnetization: 0.00 μB per formula unit.

Cell and atoms, written as POSCAR:
```
TaSi2As
1.0
1.4669 0.8469 9.7360
-1.4669 0.8469 9.7360
0.0000 -1.6938 9.7360
Ta Si As
1 2 1
Direct
0.0000 0.0000 0.0000 Ta
0.4742 0.4742 0.4742 Si
0.7400 0.7400 0.7400 Si
0.2574 0.2574 0.2574 As
```


Record 3
The following is a PBE calculation of a geometry-optimized Ta2SiAs structure, from Alexandria.

## Properties
The formation energy from raw total energies comes out at 0.33 eV/f.u. Its energy above the most stable polymorph in this dataset is 40.8 kJ/mol of atoms. As for the total magnetization: 0.00 μB per formula unit.

Cell and atoms, written as POSCAR:
```
Ta2SiAs
1.0
1.5137 0.8739 8.6710
-1.5137 0.8739 8.6710
0.0000 -1.7479 8.6710
Ta Si As
2 1 1
Direct
0.0000 0.0000 0.0000 Ta
0.2392 0.2392 0.2392 Ta
0.4951 0.4951 0.4951 Si
0.7467 0.7467 0.7467 As
```


Record 4
The following is a PBE calculation of a geometry-optimized TaSiAs2 structure, from Alexandria.

## Properties
The formation energy from raw total energies comes out at 0.28 eV/f.u. As for the total magnetization: 0.00 μB per formula unit.

Cell and atoms, written as POSCAR:
```
TaSiAs2
1.0
-1.7214 2.3151 4.1359
1.7214 -2.3151 4.1359
1.7214 2.3151 -4.1359
Ta Si As
1 1 2
Direct
0.0000 0.0000 0.0000 Ta
0.5000 0.5000 0.0000 Si
0.2860 0.7860 0.5000 As
0.7140 0.2140 0.5000 As
```


Record 5
The following is a PBE calculation of a geometry-optimized Ta2SiAs structure, from Alexandria.

## Properties
The formation energy from raw total energies comes out at 0.93 eV/f.u. Its energy above the most stable polymorph in this dataset is 55.1 kJ/mol of atoms. As for the total magnetization: 0.58 μB per formula unit.

Cell and atoms, written as POSCAR:
```
Ta2SiAs
1.0
0.0000 3.2345 3.2345
3.2345 0.0000 3.2345
3.2345 3.2345 0.0000
Ta Si As
2 1 1
Direct
0.0000 0.0000 0.0000 Ta
0.2500 0.2500 0.2500 Ta
0.7500 0.7500 0.7500 Si
0.5000 0.5000 0.5000 As
```


Record 6
The following is a PBE calculation of a geometry-optimized Ta2SiAs structure, from Alexandria.

## Properties
The formation energy from raw total energies comes out at -0.35 eV/f.u. Its energy above the most stable polymorph in this dataset is 24.3 kJ/mol of atoms. As for the total magnetization: 0.00 μB per formula unit.

Cell and atoms, written as POSCAR:
```
Ta2SiAs
1.0
3.0131 -3.7486 0.0000
3.0131 3.7486 0.0000
-0.8419 0.0000 2.9304
Ta Si As
2 1 1
Direct
0.0000 0.5000 0.0000 Ta
0.5000 0.0000 0.0000 Ta
0.0000 0.0000 0.5000 Si
0.5000 0.5000 0.5000 As
```


Record 7
The following is a PBE calculation of a geometry-optimized TaSiAs structure, from Alexandria.

## Properties
The formation energy from raw total energies comes out at 0.45 eV/f.u. Its energy above the most stable polymorph in this dataset is 64.5 kJ/mol of atoms. As for the total magnetization: 0.00 μB per formula unit.

Cell and atoms, written as POSCAR:
```
TaSiAs
1.0
-1.4217 1.4217 6.5670
1.4217 -1.4217 6.5670
1.4217 1.4217 -6.5670
Ta Si As
1 1 1
Direct
0.0000 0.0000 0.0000 Ta
0.6486 0.6486 0.0000 Si
0.3446 0.3446 0.0000 As
```


Record 8
The following is a PBE calculation of a geometry-optimized TaSiAs2 structure, from Alexandria.

## Properties
The formation energy from raw total energies comes out at 0.83 eV/f.u. As for the total magnetization: 0.00 μB per formula unit.

Cell and atoms, written as POSCAR:
```
TaSiAs2
1.0
2.8216 -3.5971 0.0000
2.8216 3.5971 0.0000
0.0000 0.0000 3.2977
Ta Si As
1 1 2
Direct
0.0000 0.0000 0.0000 Ta
0.5000 0.5000 0.0000 Si
0.0000 0.5000 0.5000 As
0.5000 0.0000 0.5000 As
```


Record 9
The following is a PBE calculation of a geometry-optimized Ta2SiAs structure, from Alexandria.

## Properties
The formation energy from raw total energies comes out at -0.37 eV/f.u. Its energy above the most stable polymorph in this dataset is 23.7 kJ/mol of atoms. As for the total magnetization: 0.00 μB per formula unit.

Cell and atoms, written as POSCAR:
```
Ta2SiAs
1.0
-1.7036 2.2068 4.3912
1.7036 -2.2068 4.3912
1.7036 2.2068 -4.3912
Ta Si As
2 1 1
Direct
0.0000 0.0000 0.0000 Ta
0.7330 0.2330 0.5000 Ta
0.5046 0.5046 0.0000 Si
0.2369 0.7369 0.5000 As
```


Record 10
The following is a PBE calculation of a geometry-optimized Ta2SiAs structure, from Alexandria.

## Properties
The formation energy from raw total energies comes out at -0.02 eV/f.u. Its energy above the most stable polymorph in this dataset is 32.2 kJ/mol of atoms. As for the total magnetization: 0.00 μB per formula unit.

Cell and atoms, written as POSCAR:
```
Ta2SiAs
1.0
1.7640 -2.2761 0.0000
1.7640 2.2761 0.0000
0.0000 0.0000 9.0484
Ta Si As
2 1 1
Direct
0.0000 0.0000 0.0000 Ta
0.5000 0.5000 0.2558 Ta
0.5000 0.5000 0.7858 Si
0.0000 0.0000 0.4771 As
```


Record 11
The following is a PBE calculation of a geometry-optimized TaSiAs2 structure, from Alexandria.

## Properties
The formation energy from raw total energies comes out at 1.14 eV/f.u. As for the total magnetization: 0.00 μB per formula unit.

Cell and atoms, written as POSCAR:
```
TaSiAs2
1.0
-1.9485 1.9485 4.4637
1.9485 -1.9485 4.4637
1.9485 1.9485 -4.4637
Ta Si As
1 1 2
Direct
0.0000 0.0000 0.0000 Ta
0.7500 0.2500 0.5000 Si
0.2500 0.7500 0.5000 As
0.5000 0.5000 0.0000 As
```


Record 12
The following is a PBE calculation of a geometry-optimized TaSiAs3 structure, from Alexandria.

## Properties
The formation energy from raw total energies comes out at 4.99 eV/f.u. Its energy above the most stable polymorph in this dataset is 32.2 kJ/mol of atoms. As for the total magnetization: 0.00 μB per formula unit.

Cell and atoms, written as POSCAR:
```
TaSiAs3
1.0
4.6553 0.0000 0.0000
0.0000 4.6553 0.0000
0.0000 0.0000 4.6553
Ta Si As
1 1 3
Direct
0.0000 0.0000 0.0000 Ta
0.5000 0.5000 0.5000 Si
0.0000 0.5000 0.5000 As
0.5000 0.0000 0.5000 As
0.5000 0.5000 0.0000 As
```